Entry 1:
This record from OQMD via LeMat-Bulk describes crystalline DyHoTm2 at its relaxed geometry. The functional is PBE.

Geometry as extended XYZ:
```
8
Lattice="5.5621 0.0000 0.0000 0.0000 3.5704 6.1842 0.0000 -3.5704 6.1842" Properties=species:S:1:pos:R:3 pbc="T T T"
Dy 0.0000 0.0000 0.0000
Dy 2.7810 0.0000 4.1235
Ho 0.0000 -1.7805 9.2747
Ho 0.0000 1.7805 9.2747
Tm 0.0000 0.0000 6.1896
Tm 2.7810 -1.7805 7.2180
Tm 2.7810 1.7805 7.2180
Tm 2.7810 0.0000 10.3022
```

formation energy from the elements: 2 meV per atom
symmetry: Amm2
total moment: 0.01 μB/atom

=====

Entry 2:
This record from OQMD via LeMat-Bulk describes crystalline Cs2AgBiSe4 at its relaxed geometry. The functional is PBE.

Geometry as extended XYZ:
```
16
Lattice="0.0000 7.6386 11.4375 3.1502 0.0000 11.4375 3.1502 7.6386 0.0000" Properties=species:S:1:pos:R:3 pbc="T T T"
Cs 2.3627 5.7290 1.5069
Cs 3.9378 9.5483 7.2257
Cs 2.3627 5.7290 15.6493
Cs 3.9378 9.5483 21.3681
Ag 2.3627 5.7290 8.5781
Ag 3.9378 9.5483 14.2969
Bi 0.7876 1.9097 2.8594
Bi 5.5129 13.3676 20.0156
Se 2.3837 3.5054 4.4794
Se 3.9168 7.3247 10.1981
Se 2.3417 7.9525 4.4794
Se 2.3417 3.5054 12.6769
Se 3.9588 11.7718 10.1981
Se 3.9588 7.3247 18.3956
Se 2.3837 7.9525 12.6769
Se 3.9168 11.7718 18.3956
```

symmetry: Fddd
VASP energy: -3.369 eV per atom

=====

Entry 3:
This record from OQMD via LeMat-Bulk describes crystalline Be2FeTc2 at its relaxed geometry. The functional is PBE.

Geometry as extended XYZ:
```
10
Lattice="5.9096 0.0000 0.0000 0.0000 5.9096 0.0000 0.0000 0.0000 3.1338" Properties=species:S:1:pos:R:3 pbc="T T T"
Be 0.7184 2.2364 0.0000
Be 2.2364 5.1911 0.0000
Be 3.6732 0.7184 0.0000
Be 5.1911 3.6732 0.0000
Fe 0.0000 0.0000 0.0000
Fe 2.9548 2.9548 0.0000
Tc 1.0489 4.0037 1.5669
Tc 1.9059 1.0489 1.5669
Tc 4.0037 4.8607 1.5669
Tc 4.8607 1.9059 1.5669
```

symmetry: P4/mbm
VASP energy: -7.519 eV per atom
total moment: 0.50 μB/atom

=====

Entry 4:
This record from OQMD via LeMat-Bulk describes crystalline Li2GdCuAs2 at its relaxed geometry. The functional is PBE.

Geometry as extended XYZ:
```
6
Lattice="4.2104 0.0000 0.0000 -2.1052 3.6463 0.0000 0.0000 0.0000 6.6335" Properties=species:S:1:pos:R:3 pbc="T T T"
Li 0.0000 2.4309 0.9581
Li 2.1052 1.2154 5.6754
Gd 0.0000 0.0000 3.3168
Cu 0.0000 0.0000 0.0000
As 0.0000 2.4309 5.0160
As 2.1052 1.2154 1.6175
```

symmetry: P-3m1
VASP energy: -4.342 eV per atom
total moment: 0.00 μB/atom

=====

Entry 5:
This record from OQMD via LeMat-Bulk describes crystalline NaTaAlIr at its relaxed geometry. The functional is PBE.

Geometry as extended XYZ:
```
4
Lattice="0.0000 3.1646 3.1646 3.1646 0.0000 3.1646 3.1646 3.1646 0.0000" Properties=species:S:1:pos:R:3 pbc="T T T"
Na 0.0000 0.0000 0.0000
Ta 1.5823 1.5823 1.5823
Al 4.7469 4.7469 4.7469
Ir 3.1646 3.1646 3.1646
```

symmetry: F-43m
total moment: 0.00 μB/atom
excess energy over the best structure of this formula in the dataset: 0 meV/atom

=====

Entry 6:
This record from OQMD via LeMat-Bulk describes crystalline TlCdPO at its relaxed geometry. The functional is PBE.

Geometry as extended XYZ:
```
8
Lattice="4.4875 0.0000 0.0000 0.0000 4.4875 0.0000 0.0000 0.0000 9.3282" Properties=species:S:1:pos:R:3 pbc="T T T"
Tl 1.1219 3.3656 0.0000
Tl 3.3656 1.1219 0.0000
Cd 1.1219 1.1219 4.2529
Cd 3.3656 3.3656 5.0753
P 1.1219 1.1219 1.5609
P 3.3656 3.3656 7.7673
O 1.1219 3.3656 4.6641
O 3.3656 1.1219 4.6641
```

symmetry: P4/nmm
excess energy over the best structure of this formula in the dataset: 177 meV/atom